(1)
A plane-wave DFT calculation with PBE was carried out for crystalline ErBeSi2Rh2 at its relaxed geometry.

Summary:
Formation energy from raw total energies in eV per atom: -0.265
Crystal system: tetragonal

a b c (Å): 4.1668 4.1668 5.4469
angles (deg): 90.00 90.00 90.00
Space group P4/mmm (No. 123)
Unique sites:
Er1 0.0000 0.0000 0.0000 x1
Be1 0.0000 0.0000 0.5000 x1
Si1 0.0000 0.5000 0.5000 x2
Rh1 0.5000 0.5000 0.2456 x2



(2)
A plane-wave DFT calculation with PBE was carried out for crystalline Rb2TiMo2 at its relaxed geometry.

Summary:
Polymorph energy (0 for the lowest one) in eV per atom: 0.970
DFT formation energy in eV/atom: 2.26
Crystal system: tetragonal

a b c (Å): 9.9626 9.9626 2.7942
angles (deg): 90.00 90.00 90.00
Space group P4/mbm (No. 127)
Unique sites:
Rb1 0.1163 0.3837 0.0000 x4
Ti1 0.0000 0.0000 0.0000 x2
Mo1 0.1880 0.6880 0.5000 x4



Calculated values (states/eV/f.u.) of DOS(E_F) for the records, taken in order: 2.3; 3.7.